# 1
ScVH after structural relaxation, computed with PBE-GGA.

Energy = -6.120 eV/atom
V = 12.50 Å³ per atom
Crystal system = orthorhombic

Geometry as POSCAR:
```
ScVH
1.0
-1.2258 0.1913 -2.4406
2.5357 -4.1910 -3.1378
-7.3942 -6.1887 1.6931
Sc H V
4 4 4
Direct
0.8823 0.2355 0.5000
0.6177 0.7645 0.5000
0.8677 0.2645 0.0000
0.1323 0.7355 0.0000
0.1927 0.5000 0.6146
0.3073 0.5000 0.3854
0.5573 0.0000 0.8854
0.4427 0.0000 0.1146
0.6224 0.5000 0.7552
0.8776 0.5000 0.2448
0.1276 0.0000 0.7448
0.8724 0.0000 0.2552
```

---

# 2
Eu2Ga4Ni after structural relaxation, computed with PBE-GGA.

Energy = -5.847 eV/atom
V = 23.42 Å³ per atom
ΔE_f = -0.36 eV/atom
Crystal system = tetragonal

Geometry as POSCAR:
```
Eu2Ga4Ni
1.0
4.5491 0.0000 0.0000
0.0000 4.5491 0.0000
2.2746 2.2746 7.9233
Eu Ni Ga
2 1 4
Direct
0.6530 0.6530 0.6940
0.3470 0.3470 0.3060
0.0000 0.0000 0.0000
0.8485 0.8485 0.3030
0.1515 0.1515 0.6970
0.0000 0.5000 0.0000
0.5000 0.0000 0.0000
```

---

# 3
YMn2H after structural relaxation, computed with PBE-GGA.

Energy = -5.986 eV/atom
V = 15.74 Å³ per atom
Crystal system = cubic

Geometry as POSCAR:
```
YMn2H
1.0
-0.6088 -3.9956 -1.8975
-4.0948 -1.2867 -1.2299
-1.0457 -0.2782 -4.3319
Y H Mn
1 1 2
Direct
0.5000 0.5000 0.5000
0.0000 0.0000 0.0000
0.2500 0.2500 0.2500
0.7500 0.7500 0.7500
```

---

# 4
PrTa2O6 after structural relaxation, computed with PBE-GGA.

Energy = -9.296 eV/atom
V = 18.72 Å³ per atom
Crystal system = monoclinic

Geometry as POSCAR:
```
PrTa2O6
1.0
3.7072 0.0000 -1.2151
-0.3877 7.4146 -1.1827
-0.0343 -0.1001 6.1578
Pr Ta O
1 2 6
Direct
0.0000 0.5000 0.0000
0.2550 0.1815 0.5100
0.7450 0.8185 0.4900
0.1266 0.2866 0.2533
0.2320 0.8961 0.4640
0.7680 0.1039 0.5360
0.3967 0.3538 0.7934
0.6033 0.6462 0.2066
0.8734 0.7134 0.7467
```